(1)
First-principles (PBE) data for a geometry-optimized MgRuW structure, as listed in Alexandria via LeMat-Bulk.

Final energy   -7.8598 eV per atom
Space group   No. 107
Density   10.7 g/cm³
Excess energy over the best structure of this formula in the dataset   0.0000 eV per atom
Formation energy   81 meV per atom

Lattice parameters (Å, degrees): 5.5157 5.5157 5.5157 147.62 147.62 46.44
Element x y z (fractional)
Mg 0.9946 0.9946 0.0000
Ru 0.3218 0.3218 0.0000
W 0.6835 0.6835 0.0000

***

(2)
First-principles (PBE) data for a geometry-optimized FeTcHg2 structure, as listed in Alexandria via LeMat-Bulk.

Final energy   -4.2139 eV per atom
Space group   No. 139
Density   13.3 g/cm³
Excess energy over the best structure of this formula in the dataset   0.3073 eV per atom
Formation energy   644 meV per atom

Lattice parameters (Å, degrees): 5.0399 5.0399 5.0399 132.01 131.94 70.27
Element x y z (fractional)
Fe 0.2500 0.7500 0.5000
Hg 0.0002 0.0002 0.0000
Hg 0.4998 0.4998 0.0000
Tc 0.7500 0.2500 0.5000

***

(3)
First-principles (PBE) data for a geometry-optimized ZrTc2 structure, as listed in Alexandria via LeMat-Bulk.

Final energy   -9.5810 eV per atom
Space group   No. 164
Density   9.4 g/cm³
Excess energy over the best structure of this formula in the dataset   0.4907 eV per atom
Formation energy   179 meV per atom

Lattice parameters (Å, degrees): 2.8707 2.8707 7.1292 90.00 90.00 120.00
Element x y z (fractional)
Tc 0.0000 0.0000 0.9755
Tc 0.3333 0.6667 0.6911
Zr 0.6667 0.3333 0.3333

***

(4)
First-principles (PBE) data for a geometry-optimized TiNb2Rh4 structure, as listed in Alexandria via LeMat-Bulk.

Final energy   -8.4751 eV per atom
Space group   No. 14
Density   9.6 g/cm³
Excess energy over the best structure of this formula in the dataset   0.1099 eV per atom
Formation energy   -269 meV per atom

Lattice parameters (Å, degrees): 5.2605 8.4579 5.0102 85.15 90.00 90.00
Element x y z (fractional)
Ti 0.0000 0.0000 0.0000
Ti 0.5000 0.5000 0.0000
Nb 0.0011 0.4808 0.2590
Nb 0.4989 0.9808 0.2590
Nb 0.9989 0.5192 0.7410
Nb 0.5011 0.0192 0.7410
Rh 0.0019 0.1718 0.5218
Rh 0.4981 0.6718 0.5218
Rh 0.9981 0.8282 0.4782
Rh 0.5019 0.3282 0.4782
Rh 0.7507 0.2499 0.0006
Rh 0.2493 0.7501 0.9994
Rh 0.2507 0.2501 0.9994
Rh 0.7493 0.7499 0.0006

***

(5)
First-principles (PBE) data for a geometry-optimized NdDy2Hg structure, as listed in Alexandria via LeMat-Bulk.

Final energy   -3.7249 eV per atom
Space group   No. 123
Density   9.7 g/cm³
Excess energy over the best structure of this formula in the dataset   0.0761 eV per atom
Formation energy   -156 meV per atom

Lattice parameters (Å, degrees): 4.8293 4.8634 4.8634 90.00 90.00 90.00
Element x y z (fractional)
Nd 0.5000 0.5000 0.5000
Hg 0.5000 0.0000 0.0000
Dy 0.0000 0.0000 0.5000
Dy 0.0000 0.5000 0.0000

***

(6)
First-principles (PBE) data for a geometry-optimized Th2BRh4 structure, as listed in Alexandria via LeMat-Bulk.

Final energy   -8.0895 eV per atom
Space group   No. 139
Density   11.5 g/cm³
Formation energy   -815 meV per atom

Lattice parameters (Å, degrees): 4.1952 4.1952 7.8810 74.56 74.56 90.00
Element x y z (fractional)
B 0.0000 0.0000 0.0000
Rh 0.8558 0.8558 0.2883
Rh 0.1442 0.1442 0.7117
Rh 0.0000 0.5000 0.0000
Rh 0.5000 0.0000 0.0000
Th 0.6568 0.6568 0.6863
Th 0.3432 0.3432 0.3137

***

(7)
First-principles (PBE) data for a geometry-optimized KTlS2 structure, as listed in Alexandria via LeMat-Bulk.

Final energy   -3.3589 eV per atom
Raw formation energy   -0.43 eV per atom
Space group   No. 160
Density   3.8 g/cm³
Excess energy over the best structure of this formula in the dataset   0.2009 eV per atom

Lattice parameters (Å, degrees): 8.6993 8.6993 8.6993 28.90 28.90 28.90
Element x y z (fractional)
S 0.1318 0.1318 0.1318
S 0.6063 0.6063 0.6063
Tl 0.5102 0.5102 0.5102
K 0.0027 0.0027 0.0027

***

(8)
First-principles (PBE) data for a geometry-optimized Nd2Al9Cu3 structure, as listed in Alexandria via LeMat-Bulk.

Final energy   -4.2668 eV per atom
Space group   No. 15
Density   4.8 g/cm³
Formation energy   -302 meV per atom

Lattice parameters (Å, degrees): 7.5938 7.5938 10.8278 90.59 109.64 120.40
Element x y z (fractional)
Nd 0.3346 0.2480 0.7511
Nd 0.6654 0.7520 0.2489
Nd 0.9969 0.5835 0.7489
Nd 0.0031 0.4165 0.2511
Al 0.4618 0.9158 0.7489
Al 0.5382 0.0842 0.2511
Al 0.6669 0.7130 0.7511
Al 0.3331 0.2870 0.2489
Al 0.4578 0.6473 0.9346
Al 0.5422 0.3527 0.0654
Al 0.2126 0.5232 0.5654
Al 0.7874 0.4768 0.4346
Al 0.8748 0.1248 0.7500
Al 0.1252 0.8752 0.2500
Al 0.1292 0.9827 0.9463
Al 0.8708 0.0173 0.0537
Al 0.5364 0.1829 0.5537
Al 0.4636 0.8171 0.4463
Al 0.8723 0.8558 0.5636
Al 0.1277 0.1442 0.4364
Al 0.7923 0.3087 0.9364
Al 0.2077 0.6913 0.0636
Cu 0.5000 0.0000 0.0000
Cu 0.5000 0.5000 0.5000
Cu 0.8379 0.1693 0.4976
Cu 0.1621 0.8307 0.5024
Cu 0.1717 0.3403 0.0024
Cu 0.8283 0.6597 0.9976

***

(9)
First-principles (PBE) data for a geometry-optimized Cs2RbFeI structure, as listed in Alexandria via LeMat-Bulk.

Final energy   -2.2903 eV per atom
Raw formation energy   0.25 eV per atom
Space group   No. 123
Density   2.8 g/cm³

Lattice parameters (Å, degrees): 7.7362 5.2057 7.7362 90.00 90.00 90.00
Element x y z (fractional)
Cs 0.0000 0.0000 0.5000
Cs 0.5000 0.0000 0.0000
I 0.0000 0.0000 0.0000
Fe 0.0000 0.5000 0.0000
Rb 0.5000 0.5000 0.5000

***

(10)
First-principles (PBE) data for a geometry-optimized YAgHg2 structure, as listed in Alexandria via LeMat-Bulk.

Final energy   -2.6921 eV per atom
Space group   No. 99
Density   10.5 g/cm³
Formation energy   -212 meV per atom

Lattice parameters (Å, degrees): 3.7741 3.7683 6.6384 90.00 90.00 90.00
Element x y z (fractional)
Ag 0.5000 0.5000 0.7567
Hg 0.0000 0.0000 0.9858
Hg 0.5000 0.5000 0.2514
Y 0.0000 0.0000 0.5061

***

(11)
First-principles (PBE) data for a geometry-optimized Ca2ErHg6 structure, as listed in Alexandria via LeMat-Bulk.

Final energy   -1.5739 eV per atom
Space group   No. 15
Density   10.5 g/cm³
Formation energy   -421 meV per atom

Lattice parameters (Å, degrees): 5.4870 9.3467 9.3467 77.46 82.23 82.23
Element x y z (fractional)
Ca 0.4170 0.5419 0.7905
Ca 0.0830 0.2095 0.4581
Ca 0.5830 0.4581 0.2095
Ca 0.9170 0.7905 0.5419
Er 0.2500 0.1262 0.8738
Er 0.7500 0.8738 0.1262
Hg 0.4728 0.6866 0.4260
Hg 0.0272 0.5740 0.3134
Hg 0.5272 0.3134 0.5740
Hg 0.9728 0.4260 0.6866
Hg 0.6405 0.0939 0.3451
Hg 0.8595 0.6549 0.9061
Hg 0.3595 0.9061 0.6549
Hg 0.1405 0.3451 0.0939
Hg 0.3062 0.7701 0.0122
Hg 0.1938 0.9878 0.2299
Hg 0.6938 0.2299 0.9878
Hg 0.8062 0.0122 0.7701

***

(12)
First-principles (PBE) data for a geometry-optimized CaTl2AgBr6 structure, as listed in Alexandria via LeMat-Bulk.

Final energy   -2.9460 eV per atom
Raw formation energy   -0.98 eV per atom
Space group   No. 14
Density   5.1 g/cm³

Lattice parameters (Å, degrees): 7.2317 7.7542 11.9740 90.00 93.39 90.00
Element x y z (fractional)
Ca 0.5000 0.0000 0.0000
Ca 0.0000 0.5000 0.5000
Tl 0.0347 0.9130 0.2365
Tl 0.5347 0.5870 0.7365
Tl 0.9653 0.0870 0.7635
Tl 0.4653 0.4130 0.2635
Ag 0.5000 0.0000 0.5000
Ag 0.0000 0.5000 0.0000
Br 0.3061 0.6776 0.0589
Br 0.8061 0.8224 0.5589
Br 0.6939 0.3224 0.9411
Br 0.1939 0.1776 0.4411
Br 0.3268 0.7033 0.4462
Br 0.8268 0.7967 0.9462
Br 0.6732 0.2967 0.5538
Br 0.1732 0.2033 0.0538
Br 0.8971 0.5178 0.2667
Br 0.3971 0.9822 0.7667
Br 0.1029 0.4822 0.7333
Br 0.6029 0.0178 0.2333